## 1
# CsTaAsSe2

A geometry-optimized CsTaAsSe2 structure (PBE, Alexandria).

```
5
Lattice="5.179 0.000 0.000 0.000 5.179 0.000 0.000 0.000 5.142" Properties=species:S:1:pos:R:3 pbc="T T T"
Cs 0.000 0.000 0.000
Ta 2.589 2.589 2.571
As 2.589 2.589 0.000
Se 0.000 2.589 2.571
Se 2.589 0.000 2.571
```

## Properties
- total magnetization (μB/atom) = 0.00

---

## 2
# CsTaAsSe2

A geometry-optimized CsTaAsSe2 structure (PBE, Alexandria).

```
5
Lattice="5.425 0.000 0.000 0.000 5.425 0.000 0.000 0.000 5.710" Properties=species:S:1:pos:R:3 pbc="T T T"
Cs 0.000 0.000 0.000
Ta 2.713 2.713 2.855
As 0.000 0.000 2.855
Se 0.000 2.713 0.000
Se 2.713 0.000 0.000
```

## Properties
- total magnetization (μB/atom) = 0.10

---

Of them, the most stable is 1 and the least stable is 2.

---

## 1
# CsTeAs2Se

A geometry-optimized CsTeAs2Se structure (PBE, Alexandria).

```
5
Lattice="5.562 0.000 0.000 0.000 5.562 0.000 0.000 0.000 5.644" Properties=species:S:1:pos:R:3 pbc="T T T"
Cs 0.000 0.000 0.000
Te 2.781 2.781 2.822
As 0.000 2.781 2.822
As 2.781 0.000 2.822
Se 2.781 2.781 0.000
```

## Properties
- total magnetization (μB/atom) = 0.45

---

## 2
# CsTeAs2Se

A geometry-optimized CsTeAs2Se structure (PBE, Alexandria).

```
5
Lattice="5.904 0.000 0.000 0.000 5.904 0.000 0.000 0.000 5.466" Properties=species:S:1:pos:R:3 pbc="T T T"
Cs 0.000 0.000 0.000
Te 2.952 2.952 2.733
As 0.000 2.952 0.000
As 2.952 0.000 0.000
Se 0.000 0.000 2.733
```

## Properties
- total magnetization (μB/atom) = 0.10

---

Of them, the most stable is 1 and the least stable is 2.

---

## 1
# CsTeAsSe2

A geometry-optimized CsTeAsSe2 structure (PBE, Alexandria).

```
5
Lattice="5.598 0.000 0.000 0.000 5.598 0.000 0.000 0.000 5.515" Properties=species:S:1:pos:R:3 pbc="T T T"
Cs 0.000 0.000 0.000
Te 2.799 2.799 2.758
As 2.799 2.799 0.000
Se 0.000 2.799 2.758
Se 2.799 0.000 2.758
```

## Properties
- total magnetization (μB/atom) = 0.31

---

## 2
# CsTeAsSe2

A geometry-optimized CsTeAsSe2 structure (PBE, Alexandria).

```
5
Lattice="5.584 0.000 0.000 0.000 5.584 0.000 0.000 0.000 7.264" Properties=species:S:1:pos:R:3 pbc="T T T"
Cs 0.000 0.000 0.000
Te 2.792 2.792 3.632
As 0.000 0.000 3.632
Se 0.000 2.792 0.000
Se 2.792 0.000 0.000
```

## Properties
- total magnetization (μB/atom) = 0.49

---

Of them, the most stable is 1 and the least stable is 2.

---

## 1
# CsTlAsSe2

A geometry-optimized CsTlAsSe2 structure (PBE, Alexandria).

```
5
Lattice="6.212 0.000 0.000 0.000 6.212 0.000 0.000 0.000 6.099" Properties=species:S:1:pos:R:3 pbc="T T T"
Cs 0.000 0.000 0.000
Tl 3.106 3.106 3.049
As 0.000 0.000 3.049
Se 0.000 3.106 0.000
Se 3.106 0.000 0.000
```

## Properties
- total magnetization (μB/atom) = 0.66

---

## 2
# CsTlAsSe2

A geometry-optimized CsTlAsSe2 structure (PBE, Alexandria).

```
5
Lattice="5.668 0.000 0.000 0.000 5.668 0.000 0.000 0.000 5.513" Properties=species:S:1:pos:R:3 pbc="T T T"
Cs 0.000 0.000 0.000
Tl 2.834 2.834 2.757
As 2.834 2.834 0.000
Se 0.000 2.834 2.757
Se 2.834 0.000 2.757
```

## Properties
- total magnetization (μB/atom) = 0.38

---

Of them, the most stable is 2 and the least stable is 1.

---

## 1
# CsTlAs2Se

A geometry-optimized CsTlAs2Se structure (PBE, Alexandria).

```
5
Lattice="6.022 0.000 0.000 0.000 6.022 0.000 0.000 0.000 6.154" Properties=species:S:1:pos:R:3 pbc="T T T"
Cs 0.000 0.000 0.000
Tl 3.011 3.011 3.077
As 0.000 3.011 0.000
As 3.011 0.000 0.000
Se 0.000 0.000 3.077
```

## Properties
- total magnetization (μB/atom) = 0.58

---

## 2
# CsTlAs2Se

A geometry-optimized CsTlAs2Se structure (PBE, Alexandria).

```
5
Lattice="5.537 0.000 0.000 0.000 5.537 0.000 0.000 0.000 5.765" Properties=species:S:1:pos:R:3 pbc="T T T"
Cs 0.000 0.000 0.000
Tl 2.769 2.769 2.882
As 0.000 2.769 2.882
As 2.769 0.000 2.882
Se 2.769 2.769 0.000
```

## Properties
- total magnetization (μB/atom) = 0.42

---

Of them, the most stable is 2 and the least stable is 1.

---

## 1
# CsVAsSe2

A geometry-optimized CsVAsSe2 structure (PBE, Alexandria).

```
5
Lattice="5.677 0.000 0.000 0.000 5.677 0.000 0.000 0.000 5.760" Properties=species:S:1:pos:R:3 pbc="T T T"
Cs 0.000 0.000 0.000
V 2.838 2.838 2.880
As 0.000 0.000 2.880
Se 0.000 2.838 0.000
Se 2.838 0.000 0.000
```

## Properties
- total magnetization (μB/atom) = 0.32

---

## 2
# CsVAsSe2

A geometry-optimized CsVAsSe2 structure (PBE, Alexandria).

```
5
Lattice="5.061 0.000 0.000 0.000 5.061 0.000 0.000 0.000 4.932" Properties=species:S:1:pos:R:3 pbc="T T T"
Cs 0.000 0.000 0.000
V 2.531 2.531 2.466
As 2.531 2.531 0.000
Se 0.000 2.531 2.466
Se 2.531 0.000 2.466
```

## Properties
- total magnetization (μB/atom) = 0.01

---

Of them, the most stable is 2 and the least stable is 1.